No. 1
# Li3V2C4O12 | Alexandria | PBE+U | relaxed
data_Li3V2C4O12
_space_group_name_H-M_alt 'P 1'
_space_group_IT_number 1
_space_group_name_Hall 'P 1'
_cell_length_a 5.3296
_cell_length_b 6.4858
_cell_length_c 8.5667
_cell_angle_alpha 83.69
_cell_angle_beta 72.56
_cell_angle_gamma 66.29
loop_
_atom_site_label
_atom_site_type_symbol
_atom_site_fract_x
_atom_site_fract_y
_atom_site_fract_z
Li1 Li 0.0000 0.0000 0.0000
Li2 Li 0.1047 0.4594 0.8200
Li3 Li 0.3949 0.8688 0.3642
V1 V 0.4848 0.4439 0.1847
V2 V 0.7284 0.9373 0.6733
C1 C 0.1816 0.5468 0.4673
C2 C 0.5700 0.3401 0.8857
C3 C 0.5796 0.8225 0.9796
C4 C 0.7686 0.0584 0.3745
O1 O 0.0164 0.5909 0.6131
O2 O 0.1056 0.5028 0.3469
O3 O 0.3280 0.4151 0.0025
O4 O 0.4095 0.8844 0.8880
O5 O 0.4400 0.5450 0.4237
O6 O 0.5027 0.7537 0.1291
O7 O 0.5519 0.0200 0.4686
O8 O 0.5686 0.2823 0.7493
O9 O 0.7634 0.1356 0.2254
O10 O 0.7947 0.3296 0.9254
O11 O 0.8299 0.8301 0.9176
O12 O 0.9823 0.0171 0.4290
# * E: -7.2446 eV/atom
# * crystal system: triclinic
# * V: 259 Å³ per cell

=====

No. 2
# Li2VC3O9 | Alexandria | PBE+U | relaxed
data_Li2VC3O9
_space_group_name_H-M_alt 'A m a 2'
_space_group_IT_number 40
_space_group_name_Hall 'A 2 -2a'
_cell_length_a 9.6864
_cell_length_b 9.6538
_cell_length_c 9.1639
_cell_angle_alpha 90.00
_cell_angle_beta 90.00
_cell_angle_gamma 90.00
loop_
_atom_site_label
_atom_site_type_symbol
_atom_site_fract_x
_atom_site_fract_y
_atom_site_fract_z
Li1 Li 0.2500 0.0192 0.0000
Li2 Li 0.2500 0.3071 0.0598
V1 V 0.2500 0.2020 0.4738
C1 C 0.0184 0.2933 0.4991
C2 C 0.2500 0.0058 0.3062
O1 O 0.0696 0.1784 0.5607
O2 O 0.1059 0.1753 0.0035
O3 O 0.1169 0.3614 0.4313
O4 O 0.2500 0.1442 0.2773
O5 O 0.2500 0.4190 0.7072
O6 O 0.2500 0.4857 0.9481
# * E: -7.1989 eV/atom
# * crystal system: orthorhombic
# * V: 857 Å³ per cell

=====

No. 3
# LiVC2O6 | Alexandria | PBE+U | relaxed
data_LiVC2O6
_space_group_name_H-M_alt 'P 1 21 1'
_space_group_IT_number 4
_space_group_name_Hall 'P 2yb'
_cell_length_a 6.2104
_cell_length_b 4.7635
_cell_length_c 7.4054
_cell_angle_alpha 90.00
_cell_angle_beta 107.48
_cell_angle_gamma 90.00
loop_
_atom_site_label
_atom_site_type_symbol
_atom_site_fract_x
_atom_site_fract_y
_atom_site_fract_z
Li1 Li 0.1804 0.0000 0.0702
V1 V 0.2381 0.9765 0.6159
C1 C 0.2414 0.4958 0.8633
C2 C 0.2477 0.4303 0.3847
O1 O 0.1043 0.6048 0.4267
O2 O 0.1396 0.3903 0.9720
O3 O 0.1942 0.1655 0.3626
O4 O 0.2584 0.7763 0.8554
O5 O 0.3342 0.3512 0.7605
O6 O 0.4292 0.5232 0.3649
# * E: -7.4020 eV/atom
# * energy above the most stable polymorph in this dataset: 0.064 eV/atom
# * crystal system: monoclinic
# * V: 209 Å³ per cell

=====

Q: The lowest E belongs to which entry?
A: LiVC2O6

=====

Q: The lowest E belongs to which entry?
A: LiVC2O6